A relaxed Y4In2Sn crystal. Source: Alexandria, functional PBE-GGA.

abc: 5.6367 5.6367 8.5529
angles: 70.76 70.76 90.00
With the nearest neighbours (Å) after each atom.
Positions (direct):
Y  0.1932  0.1932  0.6136  1 Sn 2.92, 1 In 2.99
Y  0.8068  0.8068  0.3864  1 Sn 2.92, 1 In 2.99
Sn  0.0000  0.0000  0.0000  6 Y 2.82-2.92
In  0.3910  0.3910  0.2181  5 Y 2.99-3.27, 1 In 3.30
Y  0.5000  0.0000  0.0000  2 Sn 2.82
Y  0.0000  0.5000  0.0000  2 Sn 2.82
In  0.6090  0.6090  0.7819  5 Y 2.99-3.27, 1 In 3.30

Spin magnetization, μB/f.u.: 0.000
Total energy, eV/f.u.: -36.05
E_form, meV per atom: -102